# Lu2HgSe (PBE-GGA, optimized geometry)
data_Lu2HgSe
_space_group_name_H-M_alt 'R -3 m'
_space_group_IT_number 166
_space_group_name_Hall '-R 3 2"'
_cell_length_a 3.8693
_cell_length_b 3.8693
_cell_length_c 22.7976
_cell_angle_alpha 90.00
_cell_angle_beta 90.00
_cell_angle_gamma 120.00
loop_
_atom_site_label
_atom_site_fract_x
_atom_site_fract_y
_atom_site_fract_z
Lu1 0.0000 0.0000 0.2446
Hg1 0.0000 0.0000 0.0000
Se1 0.0000 0.0000 0.5000
# Formation energy from raw total energies, eV per atom: -1.017